Compound: MgGaMoO4
Source: Alexandria via LeMat-Bulk
Functional: GGA+U
Structure: relaxed

Lattice parameters (Å, degrees): 5.842 6.200 8.772 90.00 90.00 90.00
Space group Imma (No. 74)
Symmetry-distinct sites (fractional):
Mg  0.000  0.000  0.000 (multiplicity 4)
Ga  0.000  0.250  0.380 (multiplicity 4)
Mo  0.250  0.250  0.750 (multiplicity 4)
O  0.000  0.007  0.246 (multiplicity 8)
O  0.240  0.250  0.994 (multiplicity 8)

---

Compound: MgGa2MoO6
Source: Alexandria via LeMat-Bulk
Functional: GGA+U
Structure: relaxed

Lattice parameters (Å, degrees): 10.873 9.046 5.698 90.00 112.94 90.00
Space group C2/c (No. 15)
Symmetry-distinct sites (fractional):
Mg  0.000  0.094  0.250 (multiplicity 4)
Ga  0.205  0.417  0.176 (multiplicity 8)
Mo  0.000  0.257  0.750 (multiplicity 4)
O  0.099  0.251  0.134 (multiplicity 8)
O  0.110  0.089  0.668 (multiplicity 8)
O  0.148  0.427  0.816 (multiplicity 8)

---

Compound: MgGaMoO6
Source: Alexandria via LeMat-Bulk
Functional: GGA+U
Structure: relaxed

Lattice parameters (Å, degrees): 4.717 4.717 9.100 90.00 90.00 90.00
Space group P4_2nm (No. 102)
Symmetry-distinct sites (fractional):
Mg  0.000  0.000  0.000 (multiplicity 2)
Ga  0.000  0.000  0.331 (multiplicity 2)
Mo  0.000  0.000  0.669 (multiplicity 2)
O  0.188  0.188  0.503 (multiplicity 4)
O  0.202  0.202  0.816 (multiplicity 4)
O  0.205  0.205  0.170 (multiplicity 4)

---

Compound: MgGaMo4O7
Source: Alexandria via LeMat-Bulk
Functional: GGA+U
Structure: relaxed

Lattice parameters (Å, degrees): 5.903 6.275 17.014 90.00 90.00 90.00
Space group Imma (No. 74)
Symmetry-distinct sites (fractional):
Mg  0.000  0.000  0.000 (multiplicity 4)
Ga  0.000  0.250  0.444 (multiplicity 4)
Mo  0.000  0.002  0.754 (multiplicity 8)
Mo  0.227  0.250  0.632 (multiplicity 8)
O  0.000  0.015  0.375 (multiplicity 8)
O  0.000  0.029  0.878 (multiplicity 8)
O  0.241  0.250  0.994 (multiplicity 8)
O  0.250  0.250  0.250 (multiplicity 4)

---

| no. | electronic total energy (eV/cell) |
| --- | --- |
| 1 | -181.6 |
| 2 | -255.2 |
| 3 | -113.2 |
| 4 | -346.7 |